Density functional theory data (GGA+U) for an optimized crystal structure of CaPrCrO4.

Computed properties:
M_tot ... 6.00 Bohr magnetons per cell
Energy ... -7.614 eV per atom
Space-group type ... Cmc2_1
Calculated volume ... 184 Å³ per cell

```
14
Lattice="2.723 -5.993 0.000 2.723 5.993 0.000 0.000 0.000 5.630" Properties=species:S:1:pos:R:3 pbc="T T T"
Ca 2.723 4.755 2.815
Ca 2.723 -4.755 0.000
Pr 2.723 1.333 2.635
Pr 2.723 -1.333 5.450
Cr 2.723 3.008 5.531
Cr 2.723 -3.008 2.716
O 1.344 2.732 4.151
O 2.723 5.012 5.173
O 2.723 0.946 0.249
O 1.344 -2.732 1.336
O 4.103 2.732 4.151
O 2.723 -0.946 3.063
O 2.723 -5.012 2.358
O 4.103 -2.732 1.336
```